[1]
This record from Alexandria describes an optimized crystal structure of Ce12YOs6. The functional is PBE.

POSCAR file:
```
Ce12YOs6
1.0
6.510 3.759 3.294
-6.510 3.759 3.294
0.000 -7.517 3.294
Ce Y Os
12 1 6
direct
0.000 0.391 0.609 Ce
0.000 0.609 0.391 Ce
0.074 0.074 0.330 Ce
0.074 0.330 0.074 Ce
0.330 0.074 0.074 Ce
0.391 0.000 0.609 Ce
0.391 0.609 0.000 Ce
0.609 0.000 0.391 Ce
0.609 0.391 0.000 Ce
0.670 0.926 0.926 Ce
0.926 0.670 0.926 Ce
0.926 0.926 0.670 Ce
0.500 0.500 0.500 Y
0.218 0.778 0.778 Os
0.222 0.222 0.782 Os
0.222 0.782 0.222 Os
0.778 0.218 0.778 Os
0.778 0.778 0.218 Os
0.782 0.222 0.222 Os
```

Calculated values
V   484 Å³/cell
Space-group type   R-3m, No. 166
Formation enthalpy at 0 K   -0.023 eV/atom

[2]
This record from Alexandria describes an optimized crystal structure of Mn2TcSe. The functional is PBE.

POSCAR file:
```
Mn2TcSe
1.0
3.062 0.000 0.000
0.000 4.193 0.000
0.000 0.000 4.270
Mn Tc Se
2 1 1
direct
0.000 0.000 0.000 Mn
0.500 0.000 0.500 Mn
0.000 0.500 0.500 Tc
0.500 0.500 0.000 Se
```

Calculated values
V   55 Å³/cell
Space-group type   Pmmm, No. 47
Energy relative to the elements, uncorrected   194.9 meV/atom

no.,theoretical density (g/cm3)
1,10.00
2,8.69